VASP calculation (PBE-GGA) on a geometry-optimized LaCdNiSn2 structure.

Summary:
ΔH_f (0 K)   -0.28 eV/atom
Raw total energy   -4.209 eV/atom
Total magnetization   0.00 μB per atom
Volume   25.00 Å³ per atom

Unit cell a=5.012 b=5.012 c=4.976 alpha=90.00 beta=90.00 gamma=90.00
Fractional coordinates of all 5 atoms:
La1 0.500 0.500 0.500
Cd1 0.000 0.000 0.500
Sn1 0.000 0.500 0.000
Sn2 0.500 0.000 0.000
Ni1 0.000 0.000 0.000